# 1
A plane-wave DFT calculation with PBE-GGA was carried out for Ca2CrGe3Pt4 after structural relaxation.

Output
calculated total energy = -58.5 eV for the cell shown
E_form = -6.88 eV/f.u.

Cell lengths 4.145, 4.145, 11.002 Å; angles 90.00, 90.00, 90.00 degrees
Fractional coordinates of all 10 atoms:
Ca (0.500, 0.000, 0.248)
Ca (0.000, 0.500, 0.752)
Cr (0.500, 0.500, 0.500)
Ge (0.000, 0.000, 0.500)
Ge (0.500, 0.000, 0.864)
Ge (0.000, 0.500, 0.136)
Pt (0.500, 0.500, 0.000)
Pt (0.000, 0.000, 0.000)
Pt (0.500, 0.000, 0.642)
Pt (0.000, 0.500, 0.358)

=====

# 2
A plane-wave DFT calculation with PBE-GGA was carried out for CaCrGe2Se after structural relaxation.

Output
calculated total energy = -25.2 eV for the cell shown
uncorrected formation energy = -0.174 eV/atom

Cell lengths 4.528, 5.544, 4.528 Å; angles 90.00, 90.00, 90.00 degrees
Fractional coordinates of all 5 atoms:
Cr (0.000, 0.000, 0.000)
Ge (0.000, 0.000, 0.500)
Ge (0.500, 0.000, 0.000)
Ca (0.500, 0.500, 0.500)
Se (0.000, 0.500, 0.000)

=====

# 3
A plane-wave DFT calculation with PBE-GGA was carried out for CaCr2SiGe after structural relaxation.

Output
calculated total energy = -19.6 eV for the cell shown
uncorrected formation energy = 2.339 eV/atom

Cell lengths 4.405, 5.050, 4.405 Å; angles 90.00, 90.00, 90.00 degrees
Fractional coordinates of all 5 atoms:
Cr (0.000, 0.000, 0.500)
Cr (0.500, 0.000, 0.000)
Ge (0.500, 0.500, 0.500)
Si (0.000, 0.500, 0.000)
Ca (0.000, 0.000, 0.000)

=====

# 4
A plane-wave DFT calculation with PBE-GGA was carried out for Ca2CrGeTe after structural relaxation.

Output
calculated total energy = -19.9 eV for the cell shown
uncorrected formation energy = 0.301 eV/atom

Cell lengths 5.622, 5.458, 5.622 Å; angles 90.00, 90.00, 90.00 degrees
Fractional coordinates of all 5 atoms:
Cr (0.500, 0.500, 0.500)
Ge (0.000, 0.000, 0.000)
Te (0.000, 0.500, 0.000)
Ca (0.000, 0.000, 0.500)
Ca (0.500, 0.000, 0.000)